This record from Alexandria via LeMat-Bulk describes a relaxed structure of Rb2LaInCl6. The functional is PBE-GGA. Values from VASP.

```
&SYSTEM
  ibrav = 0, nat = 10, ntyp = 4
/
ATOMIC_SPECIES
Rb 85.47 Rb.upf
La 138.91 La.upf
In 114.82 In.upf
Cl 35.45 Cl.upf
CELL_PARAMETERS angstrom
0.000 5.824 5.824
5.824 0.000 5.824
5.824 5.824 0.000
ATOMIC_POSITIONS angstrom
Rb 2.912 2.912 2.912
Rb 8.735 8.735 8.735
La 0.000 0.000 0.000
In 5.824 5.824 5.824
Cl 5.824 5.824 2.772
Cl 5.824 2.772 5.824
Cl 8.875 5.824 5.824
Cl 2.772 5.824 5.824
Cl 5.824 8.875 5.824
Cl 5.824 5.824 8.875
```

The calculation puts the formation energy from raw total energies at -1.87 eV/atom. Its density of states at the Fermi level is 0.00 states/eV/cell. Its energy above the most stable polymorph in this dataset is 63 meV per atom. The value obtained for the magnetization is 0.0 μB per cell.

This record from Alexandria via LeMat-Bulk describes a relaxed structure of HoTaN2. The functional is PBE-GGA. Values from VASP.

```
&SYSTEM
  ibrav = 0, nat = 16, ntyp = 3
/
ATOMIC_SPECIES
Ho 164.93 Ho.upf
Ta 180.95 Ta.upf
N 14.01 N.upf
CELL_PARAMETERS angstrom
5.871 0.000 0.000
0.000 3.022 0.000
0.000 0.000 11.867
ATOMIC_POSITIONS angstrom
Ho 0.010 0.756 1.695
Ho 2.926 2.267 7.628
Ho 2.945 0.756 4.239
Ho 5.861 2.267 10.172
Ta 0.005 2.267 7.067
Ta 2.930 0.756 1.133
Ta 2.941 2.267 10.734
Ta 5.866 0.756 4.800
N 0.882 0.756 8.323
N 1.467 0.756 11.419
N 1.468 2.267 5.486
N 2.053 2.267 2.389
N 3.818 0.756 9.478
N 4.403 0.756 6.381
N 4.404 2.267 0.448
N 4.989 2.267 3.544
```

The calculation puts the formation energy from raw total energies at -0.94 eV/atom. Its density of states at the Fermi level is 5.16 states/eV/cell. The value obtained for the magnetization is 0.0 μB per cell.

This record from Alexandria via LeMat-Bulk describes a relaxed structure of Ca2TlSnPb. The functional is PBE-GGA. Values from VASP.

```
&SYSTEM
  ibrav = 0, nat = 10, ntyp = 4
/
ATOMIC_SPECIES
Ca 40.08 Ca.upf
Tl 204.38 Tl.upf
Sn 118.71 Sn.upf
Pb 207.20 Pb.upf
CELL_PARAMETERS angstrom
7.285 0.000 0.000
0.000 5.063 0.000
-2.384 0.000 8.236
ATOMIC_POSITIONS angstrom
Ca -0.780 1.266 2.746
Ca 2.835 1.266 1.029
Ca 2.066 3.797 7.207
Ca 5.681 3.797 5.491
Tl 1.371 3.797 3.769
Tl 3.530 1.266 4.467
Sn 0.453 1.266 5.840
Sn 4.448 3.797 2.396
Pb 0.820 3.797 0.545
Pb 4.081 1.266 7.691
```

For the energy of formation from the pure elements, the calculation gives -0.381 eV/atom. Its density of states at the Fermi level is 4.67 states/eV/cell. The value obtained for the magnetization is 0.0 μB per cell.